A relaxed structure of ScTlNi2. Source: Alexandria via LeMat-Bulk, functional PBE-GGA.

abc: 7.958 7.958 7.958
angles: 23.61 23.61 23.61
Sites, in units of the cell vectors:
Ni  0.997  0.997  0.997
Ni  0.503  0.503  0.503
Sc  0.250  0.250  0.250
Tl  0.750  0.750  0.750

- Energy: -0.3629 Ry per atom
- Calculated formation energy: 0.5 eV per formula unit
- M_tot: 0.00 μB per formula unit